VASP calculation (PBE-GGA) on crystalline KCo2W at its relaxed geometry.

The space group is R3m (No. 160, hexagonal axes) and the conventional cell measures 2.7618, 2.7618 and 29.9404 Å, with angles of 90.00, 90.00 and 120.00 degrees. The asymmetric unit holds K at (0.0000, 0.0000, 0.0000), Co at (0.0000, 0.0000, 0.4892), Co at (0.0000, 0.0000, 0.7613) and W at (0.0000, 0.0000, 0.2268).

The total magnetization comes out at 2.9 μB per formula unit. The calculation puts the total energy at -6.173 eV/atom. The energy of formation is 892 meV per atom. As for the energy above the most stable polymorph in this dataset: 0.324 eV per atom.


VASP calculation (PBE-GGA) on crystalline KCoW2 at its relaxed geometry.

The space group is I-42d (No. 122) and the conventional cell measures 5.0278, 5.0278 and 16.3147 Å, with angles of 90.00, 90.00 and 90.00 degrees. The asymmetric unit holds K at (0.0000, 0.0000, 0.0000), Co at (0.0000, 0.0000, 0.5000) and W at (0.0156, 0.2500, 0.6250).

The total magnetization comes out at 0.0 μB per formula unit. The calculation puts the total energy at -6.638 eV/atom. The energy of formation is 1889 meV per atom. As for the energy above the most stable polymorph in this dataset: 1.083 eV per atom.


VASP calculation (PBE-GGA) on crystalline KCoW2 at its relaxed geometry.

The space group is Pmmm (No. 47) and the conventional cell measures 2.6409, 5.0579 and 5.4633 Å, with angles of 90.00, 90.00 and 90.00 degrees. The asymmetric unit holds K at (0.0000, 0.0000, 0.0000), Co at (0.5000, 0.5000, 0.0000), W at (0.0000, 0.5000, 0.5000) and W at (0.5000, 0.0000, 0.5000).

The total magnetization comes out at 2.2 μB per formula unit. The calculation puts the total energy at -6.995 eV/atom. The energy of formation is 1533 meV per atom. As for the energy above the most stable polymorph in this dataset: 0.727 eV per atom.


VASP calculation (PBE-GGA) on crystalline KCo2W at its relaxed geometry.

The space group is Pmmm (No. 47) and the conventional cell measures 2.6528, 4.6699 and 5.4156 Å, with angles of 90.00, 90.00 and 90.00 degrees. The asymmetric unit holds K at (0.0000, 0.0000, 0.0000), Co at (0.0000, 0.5000, 0.5000), Co at (0.5000, 0.5000, 0.0000) and W at (0.5000, 0.0000, 0.5000).

The total magnetization comes out at 3.2 μB per formula unit. The calculation puts the total energy at -5.392 eV/atom. The energy of formation is 1674 meV per atom. As for the energy above the most stable polymorph in this dataset: 1.106 eV per atom.


VASP calculation (PBE-GGA) on crystalline KCoW2 at its relaxed geometry.

The space group is P4/mmm (No. 123) and the conventional cell measures 3.7760, 3.7760 and 5.0884 Å, with angles of 90.00, 90.00 and 90.00 degrees. The asymmetric unit holds K at (0.0000, 0.0000, 0.0000), Co at (0.5000, 0.5000, 0.0000) and W at (0.0000, 0.5000, 0.5000).

The total magnetization comes out at 1.3 μB per formula unit. The calculation puts the total energy at -6.720 eV/atom. The energy of formation is 1808 meV per atom. As for the energy above the most stable polymorph in this dataset: 1.002 eV per atom.


VASP calculation (PBE-GGA) on crystalline KCo2W at its relaxed geometry.

The space group is Cm (No. 8) and the conventional cell measures 8.8709, 2.8240 and 6.6761 Å, with angles of 90.00, 98.93 and 90.00 degrees. The asymmetric unit holds K at (0.0000, 0.0000, 0.0000), Co at (0.2829, 0.5000, 0.3293), Co at (0.4778, 0.0000, 0.5142) and W at (0.2003, 0.0000, 0.5746).

The total magnetization comes out at 1.7 μB per formula unit. The calculation puts the total energy at -6.145 eV/atom. The energy of formation is 921 meV per atom. As for the energy above the most stable polymorph in this dataset: 0.353 eV per atom.


VASP calculation (PBE-GGA) on crystalline KCoW2 at its relaxed geometry.

The space group is Cmm2 (No. 35) and the conventional cell measures 3.2123, 4.5091 and 10.0302 Å, with angles of 90.00, 90.00 and 90.00 degrees. The asymmetric unit holds K at (0.0000, 0.0000, 0.0000), Co at (0.0000, 0.5000, 0.2774), W at (0.0000, 0.0000, 0.4668) and W at (0.0000, 0.5000, 0.6851).

The total magnetization comes out at 1.3 μB per formula unit. The calculation puts the total energy at -7.721 eV/atom. The energy of formation is 806 meV per atom. As for the energy above the most stable polymorph in this dataset: 0.000 eV per atom.


VASP calculation (PBE-GGA) on crystalline KCo2W at its relaxed geometry.

The space group is P4/mmm (No. 123) and the conventional cell measures 3.0019, 3.0019 and 8.0377 Å, with angles of 90.00, 90.00 and 90.00 degrees. The asymmetric unit holds K at (0.0000, 0.0000, 0.0000), Co at (0.5000, 0.5000, 0.3357) and W at (0.0000, 0.0000, 0.5000).

The total magnetization comes out at 0.0 μB per formula unit. The calculation puts the total energy at -6.497 eV/atom. The energy of formation is 568 meV per atom. As for the energy above the most stable polymorph in this dataset: 0.000 eV per atom.


The highest energy of formation belongs to which entry? number 2